[1]
{"formula": "InIr2Br", "functional": "PBE", "state": "relaxed", "lattice_angstrom": [[-3.555, -0.862, -3.233], [2.407, -1.806, -3.845], [0.244, -1.470, 4.649]], "species": ["In", "Ir", "Ir", "Br"], "fractional_positions": [[0.750, 0.250, 0.500], [0.000, 0.000, 0.000], [0.500, 0.500, 0.000], [0.250, 0.750, 0.500]], "de_polymorph_kj_per_mol_atoms": 50.8, "e_form_raw_ev_per_atom": 0.8180}

[2]
{"formula": "LiSmGeRh", "functional": "PBE", "state": "relaxed", "lattice_angstrom": [[-1.364, -4.056, -1.803], [0.977, -1.020, -4.424], [3.140, -3.275, -0.989]], "species": ["Sm", "Rh", "Li", "Ge"], "fractional_positions": [[0.750, 0.750, 0.750], [0.000, 0.000, 0.000], [0.500, 0.500, 0.500], [0.250, 0.250, 0.250]], "formation_energy_ev_per_atom": -0.587}

[3]
{"formula": "Ho12Tm5Tl2", "functional": "PBE", "state": "relaxed", "lattice_angstrom": [[-5.671, 6.671, 2.889], [-0.951, -8.413, 2.847], [5.150, 1.693, 6.200]], "species": ["Tm", "Tm", "Tm", "Tm", "Tm", "Ho", "Ho", "Ho", "Ho", "Ho", "Ho", "Ho", "Ho", "Ho", "Ho", "Ho", "Ho", "Tl", "Tl"], "fractional_positions": [[0.687, 0.375, 0.002], [0.000, 0.000, 0.500], [0.764, 0.528, 0.416], [0.236, 0.472, 0.584], [0.313, 0.625, 0.998], [0.911, 0.822, 0.112], [0.662, 0.695, 0.762], [0.033, 0.695, 0.762], [0.178, 0.751, 0.346], [0.552, 0.105, 0.322], [0.448, 0.895, 0.678], [0.573, 0.751, 0.346], [0.089, 0.178, 0.888], [0.822, 0.249, 0.654], [0.967, 0.305, 0.238], [0.427, 0.249, 0.654], [0.338, 0.305, 0.238], [0.312, 0.000, 0.000], [0.688, 0.000, 0.000]], "formation_energy_ev_per_atom": 0.028}